Material: Al2FeRhO
Method: DFT, GGA+U
State: relaxed

a b c (Å): 4.959 4.959 3.746
angles (deg): 90.00 90.00 90.00
Fractional positions:
Al (0.000, 0.500, 0.000)
Al (0.500, 0.000, 0.000)
Fe (0.000, 0.000, 0.500)
Rh (0.500, 0.500, 0.000)
O (0.500, 0.500, 0.500)

N(E_F): 0.72 states/eV per atom
energy above the lowest structure with this stoichiometry: 0.000 eV per atom
volume: 18.43 Å³ per atom
density: 4.12 g cm⁻³